A plane-wave DFT calculation with PBE was carried out for DyPaSN2 after structural relaxation.

Unit cell a=3.849 b=3.849 c=6.579 alpha=107.01 beta=107.01 gamma=90.00
Element x y z (fractional)
N: 0.745 0.245 0.489
S: 0.504 0.504 0.007
Dy: 0.847 0.847 0.694
Pa: 0.160 0.160 0.320
N: 0.245 0.745 0.489

Magnetization ... 0.0 Bohr magnetons per cell
Crystal system ... tetragonal
Fermi-level density of states ... 0.00 states/eV/f.u.
DFT total energy ... -0.643 Ry per atom
E_form (uncorrected) ... -1.77 eV per atom